No. 1
A relaxed Ta2CdB crystal. Source: OQMD via LeMat-Bulk, functional GGA-PBE.

a = 3.2144 Å, b = 3.2144 Å, c = 14.7734 Å
α = 90.00°, β = 90.00°, γ = 120.00°
Element x y z (fractional)
Ta1 0.3333 0.6667 0.0831
Ta2 0.3333 0.6667 0.4169
Ta3 0.6667 0.3333 0.5831
Ta4 0.6667 0.3333 0.9169
Cd1 0.3333 0.6667 0.7500
Cd2 0.6667 0.3333 0.2500
B1 0.0000 0.0000 0.0000
B2 0.0000 0.0000 0.5000

Results
Its space-group type is P6_3/mmc (194). Its energy relative to the lowest polymorph listed for this composition is 0.00 eV per formula unit.

=====

No. 2
A relaxed Ta3CdB4 crystal. Source: OQMD via LeMat-Bulk, functional GGA-PBE.

a = 3.0637 Å, b = 3.2409 Å, c = 9.5353 Å
α = 90.00°, β = 90.00°, γ = 90.00°
Element x y z (fractional)
Ta1 0.0000 0.0000 0.0000
Ta2 0.5000 0.0000 0.2806
Ta3 0.5000 0.0000 0.7194
Cd1 0.0000 0.5000 0.5000
B1 0.0000 0.5000 0.1921
B2 0.0000 0.5000 0.8078
B3 0.5000 0.5000 0.0996
B4 0.5000 0.5000 0.9004

Results
Its space-group type is Pmmm (47).

=====

No. 3
A relaxed CdTcB crystal. Source: OQMD via LeMat-Bulk, functional GGA-PBE.

a = 10.7955 Å, b = 10.7955 Å, c = 10.7955 Å
α = 163.98°, β = 163.98°, γ = 22.73°
Element x y z (fractional)
Cd1 0.0675 0.0675 0.0000
Cd2 0.9325 0.9325 0.0000
Tc1 0.2035 0.2035 0.0000
Tc2 0.7965 0.7965 0.0000
B1 0.3125 0.3125 0.0000
B2 0.6875 0.6875 0.0000

Results
Its space-group type is I4/mmm (139). Its energy relative to the lowest polymorph listed for this composition is 0.00 eV per formula unit.

=====

No. 4
A relaxed CdTcB crystal. Source: OQMD via LeMat-Bulk, functional GGA-PBE.

a = 4.1290 Å, b = 4.1290 Å, c = 4.1290 Å
α = 60.00°, β = 60.00°, γ = 60.00°
Element x y z (fractional)
Cd1 0.0000 0.0000 0.0000
Tc1 0.2500 0.2500 0.2500
B1 0.5000 0.5000 0.5000

Results
Its space-group type is F-43m (216). Its energy relative to the lowest polymorph listed for this composition is 4.02 eV per formula unit.

=====

No. 5
A relaxed CdTc2B crystal. Source: OQMD via LeMat-Bulk, functional GGA-PBE.

a = 4.2975 Å, b = 4.2975 Å, c = 4.2975 Å
α = 60.00°, β = 60.00°, γ = 60.00°
Element x y z (fractional)
Cd1 0.0000 0.0000 0.0000
Tc1 0.2500 0.2500 0.2500
Tc2 0.5000 0.5000 0.5000
B1 0.7500 0.7500 0.7500

Results
Its space-group type is F-43m (216).

=====

No. 6
A relaxed CdB2Te2 crystal. Source: OQMD via LeMat-Bulk, functional GGA-PBE.

a = 8.2266 Å, b = 8.2266 Å, c = 8.2266 Å
α = 150.81°, β = 150.81°, γ = 41.75°
Element x y z (fractional)
Cd1 0.0000 0.0000 0.0000
B1 0.2500 0.7500 0.5000
B2 0.7500 0.2500 0.5000
Te1 0.3258 0.3258 0.0000
Te2 0.6742 0.6742 0.0000

Results
Its space-group type is I4/mmm (139).

=====

Number 1: VASP energy -8.0600 eV/atom, theoretical density 12.19 g cm⁻³. Number 2: VASP energy -8.3656 eV/atom, theoretical density 12.25 g cm⁻³. Number 3: VASP energy -5.9178 eV/atom, theoretical density 7.67 g cm⁻³. Number 4: VASP energy -4.5792 eV/atom, theoretical density 7.38 g cm⁻³. Number 5: VASP energy -6.1818 eV/atom, theoretical density 9.45 g cm⁻³. Number 6: VASP energy -3.3081 eV/atom, theoretical density 4.89 g cm⁻³.